First-principles (meta-GGA SCAN) data for a PBEsol-optimized structure of AgHg2Br, as listed in the Alexandria database. Values from VASP.

Results
Offset from the most stable computed form ... 0.0 meV per atom
Density ... 10.1 g/cm3
Calculated total energy ... -46.952 eV/atom
E_form (uncorrected) ... -0.162 eV/atom

```
&SYSTEM
  ibrav = 0, nat = 4, ntyp = 3
/
ATOMIC_SPECIES
Ag 107.87 Ag.upf
Hg 200.59 Hg.upf
Br 79.90 Br.upf
CELL_PARAMETERS angstrom
1.870 1.080 8.025
-1.870 1.080 8.025
0.000 -2.159 8.025
ATOMIC_POSITIONS angstrom
Ag 0.000 0.000 0.000
Hg 0.000 0.000 11.988
Hg 0.000 0.000 17.899
Br 0.000 0.000 6.341
```